# 1
Re2MoW PBE relaxed; space group = No. 123; DOS(E_F) = 0.88 states/eV per atom; polymorph energy (0 for the lowest one) = 0.000 eV per atom; formation energy from the elements = 0.4 eV per formula unit; uncorrected energy = -12.0808 eV/atom
1.0
4.457 0.000 0.000
0.000 4.457 0.000
0.000 0.000 3.127
Re Mo W
2 1 1
Cartesian
0.000 2.229 0.000
2.229 0.000 0.000
0.000 0.000 1.563
2.229 2.229 1.563



# 2
ReMo2W3 PBE relaxed; space group = No. 63; DOS(E_F) = 0.96 states/eV per atom; polymorph energy (0 for the lowest one) = 0.459 eV per atom; formation energy from the elements = 2.9 eV per formula unit; uncorrected energy = -11.6803 eV/atom
1.0
7.150 -2.529 0.000
7.150 2.529 0.000
0.000 0.000 5.464
Re Mo W
2 4 6
Cartesian
7.150 1.553 4.098
7.150 -1.553 1.366
4.870 0.000 0.000
4.870 0.000 2.732
9.430 0.000 0.000
9.430 0.000 2.732
2.470 0.024 4.098
2.470 -0.024 1.366
7.150 0.923 1.366
7.150 -0.923 4.098
11.829 0.024 4.098
11.829 -0.024 1.366



# 3
ReMo2W PBE relaxed; space group = No. 123; DOS(E_F) = 0.66 states/eV per atom; polymorph energy (0 for the lowest one) = 0.248 eV per atom; formation energy from the elements = 1.1 eV per formula unit; uncorrected energy = -11.4996 eV/atom
1.0
2.767 0.000 0.000
0.000 2.767 0.000
0.000 0.000 8.321
Re Mo W
1 2 1
Cartesian
0.000 0.000 0.000
1.383 1.383 1.962
1.383 1.383 6.360
0.000 0.000 4.161



# 4
ReMoW3 PBE relaxed; space group = No. 221; DOS(E_F) = 1.15 states/eV per atom; polymorph energy (0 for the lowest one) = 2.155 eV per atom; formation energy from the elements = 11.0 eV per formula unit; uncorrected energy = -10.2368 eV/atom
1.0
4.698 0.000 0.000
0.000 4.698 0.000
0.000 0.000 4.698
Re Mo W
1 1 3
Cartesian
0.000 0.000 0.000
2.349 2.349 2.349
0.000 0.000 2.349
0.000 2.349 0.000
2.349 0.000 0.000



# 5
ReMo2W PBE relaxed; space group = No. 35; DOS(E_F) = 0.92 states/eV per atom; polymorph energy (0 for the lowest one) = 0.042 eV per atom; formation energy from the elements = 0.2 eV per formula unit; uncorrected energy = -11.7053 eV/atom
1.0
3.153 0.000 0.000
0.000 4.469 0.000
0.000 0.000 8.934
Re Mo W
2 4 2
Cartesian
0.000 0.000 0.000
1.577 2.234 0.000
0.000 0.000 4.463
0.000 2.234 2.221
1.577 0.000 2.221
1.577 2.234 4.463
0.000 2.234 6.713
1.577 0.000 6.713



# 6
Re2MoW2 PBE relaxed; space group = No. 2; DOS(E_F) = 0.70 states/eV per atom; formation energy from the elements = 0.4 eV per formula unit; uncorrected energy = -12.2535 eV/atom
1.0
5.222 0.000 0.000
2.370 4.663 0.000
1.422 1.948 6.427
Re Mo W
4 2 4
Cartesian
1.469 1.947 2.579
4.772 5.050 5.136
4.242 1.561 1.291
7.545 4.665 3.848
2.850 3.922 1.289
6.163 2.690 5.138
3.304 3.124 6.412
3.825 2.344 3.857
5.189 4.267 2.570
5.710 3.488 0.015



# 7
ReMoW5 PBE relaxed; space group = No. 15; DOS(E_F) = 0.76 states/eV per atom; formation energy from the elements = 4.1 eV per formula unit; uncorrected energy = -11.9946 eV/atom
1.0
5.378 -4.658 0.000
5.378 4.658 0.000
-2.851 0.000 4.813
Re Mo W
2 2 10
Cartesian
3.239 4.558 3.610
4.665 -4.558 1.203
1.263 2.329 2.406
2.689 -2.329 0.000
2.469 1.049 0.341
3.976 2.362 2.353
5.354 2.362 0.054
1.044 -1.049 2.747
3.239 0.128 3.610
4.665 -0.128 1.203
6.860 1.049 2.065
2.550 -2.362 4.759
3.928 -2.362 2.460
5.435 -1.049 4.472



# 8
ReMo2W PBE relaxed; space group = No. 65; DOS(E_F) = 1.09 states/eV per atom; polymorph energy (0 for the lowest one) = 0.293 eV per atom; formation energy from the elements = 1.2 eV per formula unit; uncorrected energy = -11.4550 eV/atom
1.0
5.579 0.000 0.000
0.000 8.222 0.000
0.000 0.000 2.769
Re Mo W
2 4 2
Cartesian
0.000 0.000 0.000
2.789 4.111 0.000
1.395 2.056 1.384
1.395 6.167 1.384
4.184 2.056 1.384
4.184 6.167 1.384
0.000 4.111 0.000
2.789 0.000 0.000



# 9
ReMo3W4 PBE relaxed; space group = No. 71; DOS(E_F) = 1.04 states/eV per atom; polymorph energy (0 for the lowest one) = 0.440 eV per atom; formation energy from the elements = 3.6 eV per formula unit; uncorrected energy = -11.6437 eV/atom
1.0
2.650 0.000 0.000
0.000 9.142 0.000
0.000 0.000 10.830
Re Mo W
2 6 8
Cartesian
0.000 0.000 0.000
1.325 4.571 5.415
0.000 0.000 5.415
0.000 4.571 2.809
0.000 4.571 8.021
1.325 0.000 2.606
1.325 0.000 8.223
1.325 4.571 0.000
0.000 2.327 1.380
0.000 2.327 9.449
0.000 6.815 1.380
0.000 6.815 9.449
1.325 2.244 4.034
1.325 2.244 6.795
1.325 6.897 4.034
1.325 6.897 6.795



# 10
ReMo6W8 PBE relaxed; space group = No. 147; DOS(E_F) = 0.78 states/eV per atom; polymorph energy (0 for the lowest one) = 0.307 eV per atom; formation energy from the elements = 9.0 eV per formula unit; uncorrected energy = -11.4704 eV/atom
1.0
10.062 0.000 0.000
-5.031 8.714 0.000
0.000 0.000 2.913
Re Mo W
1 6 8
Cartesian
0.000 0.000 0.000
-1.345 4.093 2.526
-0.813 7.832 2.526
2.873 3.211 0.387
2.158 5.502 2.526
5.844 0.882 0.387
6.376 4.620 0.387
-3.184 6.967 1.867
0.590 2.473 1.867
2.437 0.726 1.045
0.000 5.809 1.090
5.031 2.905 1.822
2.594 7.988 1.867
4.441 6.240 1.045
8.215 1.747 1.045



# 11
ReMo3W3 PBE relaxed; space group = No. 2; DOS(E_F) = 0.64 states/eV per atom; formation energy from the elements = 1.6 eV per formula unit; uncorrected energy = -11.7465 eV/atom
1.0
4.682 0.000 0.000
1.910 6.961 0.000
1.535 2.655 6.944
Re Mo W
2 6 6
Cartesian
2.305 3.283 2.103
5.823 6.333 4.842
2.688 5.524 0.135
1.561 0.931 1.117
2.717 3.427 5.077
5.410 6.189 1.867
6.566 8.685 5.827
5.439 4.092 6.809
3.064 5.635 3.092
3.861 8.034 4.101
3.487 5.812 6.077
4.641 3.804 0.868
4.267 1.582 2.843
5.064 3.981 3.852



# 12
Re3MoW PBE relaxed; space group = No. 221; DOS(E_F) = 0.89 states/eV per atom; polymorph energy (0 for the lowest one) = 0.000 eV per atom; formation energy from the elements = 11.8 eV per formula unit; uncorrected energy = -9.8560 eV/atom
1.0
4.675 0.000 0.000
0.000 4.675 0.000
0.000 0.000 4.675
Re Mo W
3 1 1
Cartesian
0.000 0.000 2.338
0.000 2.338 0.000
2.338 0.000 0.000
2.338 2.338 2.338
0.000 0.000 0.000



# 13
Re2Mo15W2 PBE relaxed; space group = No. 166; DOS(E_F) = 0.74 states/eV per atom; formation energy from the elements = 8.6 eV per formula unit; uncorrected energy = -10.7735 eV/atom
1.0
4.400 2.540 4.738
-4.400 2.540 4.738
0.000 -5.080 4.738
Re Mo W
2 15 2
Cartesian
0.000 0.000 1.239
0.000 0.000 12.974
-4.400 0.000 7.106
-1.434 -2.596 4.738
-2.200 1.270 2.369
-2.966 0.056 4.738
-2.154 -1.244 7.051
1.434 -2.596 4.738
-1.531 2.540 4.738
0.000 -2.487 7.161
-2.154 1.244 7.161
2.200 1.270 2.369
2.154 -1.244 7.051
0.000 2.487 7.051
2.966 0.056 4.738
1.531 2.540 4.738
2.154 1.244 7.161
0.000 0.000 4.550
0.000 0.000 9.663



# 14
ReMo2W PBE relaxed; space group = No. 123; DOS(E_F) = 0.91 states/eV per atom; polymorph energy (0 for the lowest one) = 0.021 eV per atom; formation energy from the elements = 0.2 eV per formula unit; uncorrected energy = -11.7266 eV/atom
1.0
4.464 0.000 0.000
0.000 4.464 0.000
0.000 0.000 3.157
Re Mo W
1 2 1
Cartesian
0.000 0.000 0.000
0.000 2.232 1.578
2.232 0.000 1.578
2.232 2.232 0.000



# 15
ReMo12W7 PBE relaxed; space group = No. 148; DOS(E_F) = 1.00 states/eV per atom; formation energy from the elements = 7.9 eV per formula unit; uncorrected energy = -11.2607 eV/atom
1.0
4.846 2.798 4.104
-4.846 2.798 4.104
0.000 -5.596 4.104
Re Mo W
1 12 7
Cartesian
0.000 0.000 0.000
-0.541 -2.976 4.565
-2.337 -0.695 5.202
-2.307 1.956 4.565
-2.848 -1.020 7.747
-0.567 -2.371 7.110
-1.770 1.676 7.110
1.770 -1.676 5.202
0.567 2.371 5.202
2.848 1.020 4.565
2.307 -1.956 7.747
2.337 0.695 7.110
0.541 2.976 7.747
-1.562 0.439 2.331
0.400 -1.572 2.331
1.161 1.133 2.331
0.000 0.000 6.156
-1.161 -1.133 9.981
-0.400 1.572 9.981
1.562 -0.439 9.981



# 16
Re2MoW PBE relaxed; space group = No. 47; DOS(E_F) = 0.74 states/eV per atom; polymorph energy (0 for the lowest one) = 0.014 eV per atom; formation energy from the elements = 0.4 eV per formula unit; uncorrected energy = -12.0670 eV/atom
1.0
3.123 0.000 0.000
0.000 4.447 0.000
0.000 0.000 4.471
Re Mo W
2 1 1
Cartesian
0.000 0.000 0.000
1.561 0.000 2.235
0.000 2.224 2.235
1.561 2.224 0.000



# 17
Re2MoW PBE relaxed; space group = No. 99; DOS(E_F) = 0.76 states/eV per atom; polymorph energy (0 for the lowest one) = 0.025 eV per atom; formation energy from the elements = 0.5 eV per formula unit; uncorrected energy = -12.0557 eV/atom
1.0
3.135 0.000 0.000
0.000 3.135 0.000
0.000 0.000 6.338
Re Mo W
2 1 1
Cartesian
0.000 0.000 0.000
1.567 1.567 1.705
1.567 1.567 4.838
0.000 0.000 3.200



# 18
ReMo2W PBE relaxed; space group = No. 99; DOS(E_F) = 0.68 states/eV per atom; polymorph energy (0 for the lowest one) = 0.252 eV per atom; formation energy from the elements = 1.1 eV per formula unit; uncorrected energy = -11.4956 eV/atom
1.0
2.770 0.000 0.000
0.000 2.770 0.000
0.000 0.000 8.310
Re Mo W
1 2 1
Cartesian
0.000 0.000 0.000
0.000 0.000 4.178
1.385 1.385 6.365
1.385 1.385 1.985



# 19
Re2MoW PBE relaxed; space group = No. 6; DOS(E_F) = 0.77 states/eV per atom; polymorph energy (0 for the lowest one) = 0.015 eV per atom; formation energy from the elements = 0.4 eV per formula unit; uncorrected energy = -12.0663 eV/atom
1.0
2.721 0.000 0.000
0.000 4.444 0.000
-0.954 0.000 5.137
Re Mo W
2 1 1
Cartesian
0.000 0.000 0.000
0.079 2.222 3.828
0.994 0.000 2.575
1.862 2.222 1.258



# 20
ReMo2W PBE relaxed; space group = No. 139; DOS(E_F) = 1.17 states/eV per atom; polymorph energy (0 for the lowest one) = 0.281 eV per atom; formation energy from the elements = 1.2 eV per formula unit; uncorrected energy = -11.4663 eV/atom
1.0
3.878 0.000 0.000
0.000 3.878 0.000
0.000 0.000 8.458
Re Mo W
2 4 2
Cartesian
0.000 0.000 0.000
1.939 1.939 4.229
0.000 1.939 2.114
0.000 1.939 6.343
1.939 0.000 2.114
1.939 0.000 6.343
0.000 0.000 4.229
1.939 1.939 0.000



# 21
ReMo2W PBE relaxed; space group = No. 71; DOS(E_F) = 0.75 states/eV per atom; polymorph energy (0 for the lowest one) = 0.000 eV per atom; formation energy from the elements = 0.1 eV per formula unit; uncorrected energy = -11.7474 eV/atom
1.0
3.154 0.000 0.000
0.000 4.448 0.000
0.000 0.000 8.960
Re Mo W
2 4 2
Cartesian
0.000 0.000 0.000
1.577 2.224 4.480
0.000 2.224 2.209
0.000 2.224 6.751
1.577 0.000 2.271
1.577 0.000 6.689
0.000 0.000 4.480
1.577 2.224 0.000



# 22
Re2MoW PBE relaxed; space group = No. 216; DOS(E_F) = 0.82 states/eV per atom; polymorph energy (0 for the lowest one) = 0.019 eV per atom; formation energy from the elements = 0.4 eV per formula unit; uncorrected energy = -12.0614 eV/atom
1.0
6.284 0.000 0.000
0.000 6.284 0.000
0.000 0.000 6.284
Re Mo W
8 4 4
Cartesian
0.000 0.000 0.000
0.000 3.142 3.142
1.571 1.571 1.571
1.571 4.713 4.713
3.142 0.000 3.142
3.142 3.142 0.000
4.713 1.571 4.713
4.713 4.713 1.571
0.000 0.000 3.142
0.000 3.142 0.000
3.142 0.000 0.000
3.142 3.142 3.142
1.571 1.571 4.713
1.571 4.713 1.571
4.713 1.571 1.571
4.713 4.713 4.713



# 23
Re2MoW PBE relaxed; space group = No. 119; DOS(E_F) = 0.87 states/eV per atom; polymorph energy (0 for the lowest one) = 0.123 eV per atom; formation energy from the elements = 0.8 eV per formula unit; uncorrected energy = -11.9582 eV/atom
1.0
3.951 0.000 0.000
0.000 3.951 0.000
0.000 0.000 7.998
Re Mo W
4 2 2
Cartesian
0.000 0.000 0.000
0.000 1.975 1.999
1.975 0.000 5.998
1.975 1.975 3.999
0.000 0.000 3.999
1.975 1.975 0.000
0.000 1.975 5.998
1.975 0.000 1.999



# 24
Re2Mo7W2 PBE relaxed; space group = No. 12; DOS(E_F) = 0.61 states/eV per atom; formation energy from the elements = 3.7 eV per formula unit; uncorrected energy = -11.1745 eV/atom
1.0
2.673 -4.443 0.000
2.673 4.443 0.000
-2.173 0.000 7.707
Re Mo W
2 7 2
Cartesian
2.673 2.278 0.000
2.673 -2.278 0.000
0.824 2.275 2.587
1.768 0.000 1.202
2.348 2.275 5.120
1.586 0.000 3.854
0.824 -2.275 2.587
1.404 0.000 6.505
2.348 -2.275 5.120
-1.292 0.000 6.340
4.464 0.000 1.368



# 25
ReMo4W8 PBE relaxed; space group = No. 12; DOS(E_F) = 0.55 states/eV per atom; formation energy from the elements = 0.0 eV per formula unit; uncorrected energy = -12.2645 eV/atom
1.0
3.880 -2.245 0.000
3.880 2.245 0.000
-2.606 0.000 11.930
Re Mo W
1 4 8
Cartesian
0.000 0.000 0.000
-0.007 0.000 5.512
2.585 0.000 1.822
2.570 0.000 10.109
5.162 0.000 6.418
-0.004 0.000 2.745
-0.014 0.000 8.268
-0.017 0.000 11.017
2.579 0.000 4.580
2.576 0.000 7.351
5.172 0.000 0.913
5.169 0.000 3.662
5.159 0.000 9.186